Record 1
{"formula": "LiZnCuNi", "functional": "GGA-PBE", "state": "optimized geometry", "e_form_mev_per_atom": -113, "spacegroup": "I-4m2, No. 119", "dft_energy_ev_per_atom": -3.380, "lattice": [[-1.997, 1.997, 3.033], [1.997, -1.997, 3.033], [1.997, 1.997, -3.033]], "species": ["Li", "Zn", "Cu", "Ni"], "fractional_positions": [[0.000, 0.000, 0.000], [0.500, 0.500, 0.000], [0.750, 0.250, 0.500], [0.250, 0.750, 0.500]]}



Record 2
{"formula": "InNiAu2", "functional": "GGA-PBE", "state": "optimized geometry", "e_form_mev_per_atom": -51, "spacegroup": "I-4m2, No. 119", "dft_energy_ev_per_atom": -3.820, "lattice": [[-2.078, 2.078, 3.949], [2.078, -2.078, 3.949], [2.078, 2.078, -3.949]], "species": ["In", "Ni", "Au", "Au"], "fractional_positions": [[0.000, 0.000, 0.000], [0.750, 0.250, 0.500], [0.250, 0.750, 0.500], [0.500, 0.500, 0.000]]}



Record 3
{"formula": "AlRe4Os", "functional": "GGA-PBE", "state": "optimized geometry", "e_form_mev_per_atom": 500, "spacegroup": "F-43m, No. 216", "dft_energy_ev_per_atom": -10.294, "lattice": [[0.000, 3.628, 3.628], [3.628, 0.000, 3.628], [3.628, 3.628, 0.000]], "species": ["Al", "Re", "Re", "Re", "Re", "Os"], "fractional_positions": [[0.000, 0.000, 0.000], [0.374, 0.374, 0.374], [0.374, 0.374, 0.878], [0.374, 0.878, 0.374], [0.878, 0.374, 0.374], [0.750, 0.750, 0.750]]}



> What is the formula in the third record?

AlRe4Os